First-principles (PBE-GGA) data for an optimized crystal structure of RhIBr2, as listed in Alexandria.

As for the uncorrected formation energy: 0.873 eV/atom. The energy above the most stable polymorph in this dataset comes out at 1181 meV/atom. The calculation puts the calculated density at 6.48 g/cm³.

It has space group Fm-3m (No. 225), with a = 7.363 Å, b = 7.363 Å, c = 7.363 Å, α = 90.00°, β = 90.00° and γ = 90.00°. The inequivalent atoms are Rh at (0.000, 0.000, 0.000), I at (0.000, 0.000, 0.500) and Br at (0.250, 0.250, 0.250).

***

First-principles (PBE-GGA) data for an optimized crystal structure of PtBr3, as listed in Alexandria.

As for the uncorrected formation energy: 0.278 eV/atom. The calculation puts the calculated density at 5.40 g/cm³.

It has space group Cmcm (No. 63), with a = 9.113 Å, b = 14.425 Å, c = 4.070 Å, α = 90.00°, β = 90.00° and γ = 90.00°. The inequivalent atoms are Pt at (0.000, 0.056, 0.250), Br at (0.000, 0.366, 0.250) and Br at (0.248, 0.106, 0.250).

***

First-principles (PBE-GGA) data for an optimized crystal structure of ZrZn2NiRu, as listed in Alexandria.

The energy is -24.2 eV for the cell shown. The calculation puts the calculated density at 7.27 g/cm³.

It has space group P4/mmm (No. 123), with a = 4.327 Å, b = 4.327 Å, c = 4.659 Å, α = 90.00°, β = 90.00° and γ = 90.00°. The inequivalent atoms are Zr at (0.000, 0.000, 0.000), Zn at (0.000, 0.500, 0.500), Ni at (0.500, 0.500, 0.500) and Ru at (0.500, 0.500, 0.000).

***

Calculated volume (Å³ per atom)
24.95; 33.44; 17.45